The following is a DFT calculation (PBE+U) of a geometry-optimized WSO5 structure.

Structure (POSCAR):
```
WSO5
1.0
5.026 0.070 -1.852
-0.720 4.963 -1.894
0.022 -0.037 7.572
W S O
2 2 10
Direct
0.500 0.000 0.000
0.500 0.000 0.500
0.879 0.617 0.250
0.121 0.383 0.750
0.768 0.724 0.087
0.173 0.676 0.339
0.434 0.064 0.251
0.767 0.727 0.414
0.233 0.273 0.586
0.822 0.319 0.163
0.178 0.681 0.837
0.566 0.936 0.749
0.827 0.324 0.661
0.232 0.276 0.913
```

* total moment: 2.0 μB/f.u.
* DOS(E_F): 0.0 states/eV/f.u.
* calculated total energy: -6.708 eV/atom